(1)
This record from Alexandria describes an optimized crystal structure of KYSn. The functional is PBE-GGA.

Computed properties:
For the distance to the lowest polymorph of the same formula, the calculation gives 0.017 eV/atom. As for the calculated total energy: -4.234 eV/atom. Its energy of formation from the pure elements is -1.14 eV per formula unit.

Unit cell a=3.7340 b=4.6692 c=13.4840 alpha=90.00 beta=90.35 gamma=90.00
Closest atoms and distances in Å follow each position.
Space group P2_1/m (No. 11)
One atom of each set of equivalent atoms:
K 0.2430 0.2500 0.1508 (multiplicity 2)  1 Y 3.62, 2 K 3.73, 4 Sn 3.92-3.93
Y 0.2480 0.2500 0.4195 (multiplicity 2)  5 Sn 3.18-3.25
Sn 0.2539 0.2500 0.6606 (multiplicity 2)  5 Y 3.18-3.25



(2)
This record from Alexandria describes an optimized crystal structure of Nd8CoRu3Br4. The functional is PBE-GGA.

Computed properties:
The uncorrected formation energy comes out at -11.93 eV/f.u. As for the calculated total energy: -5.731 eV/atom.

Unit cell a=14.0812 b=8.1243 c=9.1713 alpha=90.00 beta=120.84 gamma=90.00
Closest atoms and distances in Å follow each position.
Space group C2/m (No. 12)
One atom of each set of equivalent atoms:
Nd 0.0174 0.2480 0.3041 (multiplicity 8)  1 Co 2.79, 2 Ru 2.81-2.82
Nd 0.2306 0.0000 0.6958 (multiplicity 4)  1 Co 2.79, 2 Ru 2.82
Nd 0.2328 0.5000 0.6983 (multiplicity 4)  3 Ru 2.82
Co 0.0000 0.0000 0.5000 (multiplicity 2)  6 Nd 2.79
Ru 0.0000 0.5000 0.5000 (multiplicity 2)  6 Nd 2.82
Ru 0.2500 0.2500 0.5000 (multiplicity 4)  6 Nd 2.81-2.82
Br 0.0000 0.0000 0.0000 (multiplicity 2)  6 Nd 3.34-3.35
Br 0.0000 0.5000 0.0000 (multiplicity 2)  6 Nd 3.37
Br 0.2500 0.2500 0.0000 (multiplicity 4)  6 Nd 3.34-3.35